[1]
VASP calculation (GGA-PBE) on a relaxed AgHgIr2 crystal.

abc: 4.7809 4.7809 5.2565
angles: 81.05 81.05 34.90
Closest atoms and distances in Å follow each position.
Fractional coordinates of all 4 atoms:
Ir1 0.9944 0.9944 0.0435  5 Ir 2.63-2.87, 2 Ag 2.84
Ir2 0.2562 0.2562 0.2129  5 Ir 2.63-2.87, 2 Hg 2.90, 3 Ag 2.93-2.94
Hg1 0.7467 0.7467 0.7370  3 Ag 2.70-2.84, 2 Hg 2.87, 5 Ir 2.90-2.98
Ag1 0.5027 0.5027 0.5066  3 Hg 2.70-2.84, 5 Ir 2.84-2.94, 2 Ag 2.87

Calculated values
As for the symmetry: Cm. As for the calculated total energy: -4.787 eV per atom. The total magnetization is 0.00 μB per formula unit. As for the density: 16.965 g/cm3. The energy of formation from the pure elements is 0.4320 eV per atom.

[2]
VASP calculation (GGA-PBE) on a relaxed Al2Pd4Au crystal.

abc: 3.7918 7.0668 16.5587
angles: 90.00 90.00 90.00
Closest atoms and distances in Å follow each position.
Fractional coordinates of all 28 atoms:
Au1 0.7500 0.9439 0.6428  4 Al 2.82-2.87, 8 Pd 2.91-3.15
Au2 0.2500 0.0561 0.3572  4 Al 2.82-2.87, 8 Pd 2.91-3.15
Au3 0.2500 0.4439 0.8572  4 Al 2.82-2.87, 8 Pd 2.91-3.15
Au4 0.7500 0.5561 0.1428  4 Al 2.82-2.87, 8 Pd 2.91-3.15
Al1 0.2500 0.7415 0.5460  6 Pd 2.45-2.63
Al2 0.7500 0.2585 0.4540  6 Pd 2.45-2.63
Al3 0.7500 0.2415 0.9540  6 Pd 2.45-2.63
Al4 0.2500 0.7585 0.0460  6 Pd 2.45-2.63
Al5 0.2500 0.9493 0.7687  7 Pd 2.47-2.66
Al6 0.7500 0.0507 0.2313  7 Pd 2.47-2.66
Al7 0.7500 0.4493 0.7313  7 Pd 2.47-2.66
Al8 0.2500 0.5507 0.2687  7 Pd 2.47-2.66
Pd1 0.2500 0.2487 0.6837  3 Al 2.50-2.54, 1 Pd 2.65
Pd2 0.7500 0.7513 0.3163  3 Al 2.50-2.54, 1 Pd 2.65
Pd3 0.7500 0.7487 0.8163  3 Al 2.50-2.54, 1 Pd 2.65
Pd4 0.2500 0.2513 0.1837  3 Al 2.50-2.54, 1 Pd 2.65
Pd5 0.2500 0.6513 0.6890  4 Al 2.45-2.49
Pd6 0.7500 0.3487 0.3110  4 Al 2.45-2.49
Pd7 0.7500 0.1513 0.8110  4 Al 2.45-2.49
Pd8 0.2500 0.8487 0.1890  4 Al 2.45-2.49
Pd9 0.2500 0.1317 0.5313  2 Al 2.46, 1 Pd 2.65
Pd10 0.7500 0.8683 0.4687  2 Al 2.46, 1 Pd 2.65
Pd11 0.7500 0.6317 0.9687  2 Al 2.46, 1 Pd 2.65
Pd12 0.2500 0.3683 0.0313  2 Al 2.46, 1 Pd 2.65
Pd13 0.2500 0.5102 0.4283  4 Al 2.54-2.66
Pd14 0.7500 0.4898 0.5717  4 Al 2.54-2.66
Pd15 0.7500 0.0102 0.0717  4 Al 2.54-2.66
Pd16 0.2500 0.9898 0.9283  4 Al 2.54-2.66

Calculated values
As for the symmetry: Pnma. As for the calculated total energy: -5.097 eV per atom. The total magnetization is 0.00 μB per formula unit. As for the density: 10.129 g/cm3. The calculation puts the energy above the most stable polymorph in this dataset at 0.00 eV/f.u. The energy of formation from the pure elements is -0.5921 eV per atom.

[3]
VASP calculation (GGA-PBE) on a relaxed CeThCd17 crystal.

abc: 7.6712 7.6712 7.6712
angles: 82.28 82.28 82.28
Closest atoms and distances in Å follow each position.
Fractional coordinates of all 19 atoms:
Ce1 0.3351 0.3351 0.3351  16 Cd 3.55-3.72
Th1 0.6699 0.6699 0.6699  13 Cd 3.39-3.53
Cd1 0.3023 0.9992 0.7003  8 Cd 2.91-3.20
Cd2 0.7003 0.3023 0.9992  8 Cd 2.91-3.20
Cd3 0.9992 0.7003 0.3023  8 Cd 2.91-3.20
Cd4 0.3023 0.7003 0.9992  8 Cd 2.91-3.20
Cd5 0.9992 0.3023 0.7003  8 Cd 2.91-3.20
Cd6 0.7003 0.9992 0.3023  8 Cd 2.91-3.20
Cd7 0.3706 0.8051 0.3706  8 Cd 2.87-3.19
Cd8 0.3706 0.3706 0.8051  8 Cd 2.87-3.19
Cd9 0.8051 0.3706 0.3706  8 Cd 2.87-3.19
Cd10 0.6527 0.1326 0.6527  9 Cd 2.87-3.20
Cd11 0.6527 0.6527 0.1326  9 Cd 2.87-3.20
Cd12 0.1326 0.6527 0.6527  9 Cd 2.87-3.20
Cd13 0.0177 0.4806 0.0177  10 Cd 2.91-3.25
Cd14 0.0177 0.0177 0.4806  10 Cd 2.91-3.25
Cd15 0.4806 0.0177 0.0177  10 Cd 2.91-3.25
Cd16 0.8963 0.8963 0.8963  7 Cd 2.97-3.25
Cd17 0.0948 0.0948 0.0948  4 Cd 2.93-2.97

Calculated values
As for the symmetry: R3m. As for the calculated total energy: -1.618 eV per atom. The total magnetization is 1.29 μB per formula unit. As for the density: 8.613 g/cm3. The energy of formation from the pure elements is -0.0964 eV per atom.

[4]
VASP calculation (GGA-PBE) on a relaxed BaNd4SmSe8 crystal.

abc: 8.8503 8.8503 8.8221
angles: 59.89 59.89 60.00
Closest atoms and distances in Å follow each position.
Fractional coordinates of all 14 atoms:
Ba1 0.3756 0.3756 0.8733  4 Se 3.04-3.05
Nd1 0.6246 0.6246 0.1262  4 Se 2.86-2.88
Nd2 0.0015 0.4954 0.5015  6 Se 2.92-3.06
Nd3 0.4954 0.0015 0.5015  6 Se 2.92-3.06
Nd4 0.0015 0.0015 0.5015  6 Se 2.92-3.06
Sm1 0.0017 0.0017 0.9950  6 Se 2.89-3.03
Se1 0.2325 0.7975 0.7375  1 Sm 2.89, 2 Nd 2.93, 1 Ba 3.05
Se2 0.7975 0.2325 0.7375  1 Sm 2.89, 2 Nd 2.93, 1 Ba 3.05
Se3 0.2325 0.2325 0.7375  1 Sm 2.89, 2 Nd 2.93, 1 Ba 3.05
Se4 0.2346 0.2346 0.2963  3 Nd 2.92, 1 Ba 3.04
Se5 0.7594 0.2265 0.2546  3 Nd 2.88-3.06, 1 Sm 3.03
Se6 0.2265 0.7594 0.2546  3 Nd 2.88-3.06, 1 Sm 3.03
Se7 0.7594 0.7594 0.2546  3 Nd 2.88-3.06, 1 Sm 3.03
Se8 0.7572 0.7572 0.7283  4 Nd 2.86-3.06

Calculated values
As for the symmetry: R3m. As for the calculated total energy: -5.621 eV per atom. The total magnetization is 0.00 μB per formula unit. As for the density: 5.093 g/cm3. The raw formation energy comes out at -1.79 eV/atom.

[5]
VASP calculation (GGA-PBE) on a relaxed PaAlRh crystal.

abc: 4.2072 6.9106 11.8823
angles: 91.00 90.00 90.00
Closest atoms and distances in Å follow each position.
Fractional coordinates of all 18 atoms:
Pa1 0.7500 0.5303 0.3731  5 Rh 2.85-3.00, 2 Al 3.16
Pa2 0.2500 0.9783 0.7105  3 Rh 2.65-2.92
Pa3 0.7500 0.0217 0.2895  3 Rh 2.65-2.92
Pa4 0.7500 0.6347 0.0772  5 Rh 2.87-3.16, 3 Al 3.21-3.22
Pa5 0.2500 0.4697 0.6269  5 Rh 2.85-3.00, 2 Al 3.16
Pa6 0.2500 0.3653 0.9228  5 Rh 2.87-3.16, 3 Al 3.21-3.22
Al1 0.2500 0.9916 0.0801  4 Rh 2.59-2.65, 3 Al 2.84-2.88
Al2 0.2500 0.8556 0.4581  4 Rh 2.62-2.70
Al3 0.7500 0.6425 0.7994  4 Rh 2.58-2.79, 1 Al 2.88
Al4 0.7500 0.1444 0.5419  4 Rh 2.62-2.70
Al5 0.2500 0.3575 0.2006  4 Rh 2.58-2.79, 1 Al 2.88
Al6 0.7500 0.0084 0.9199  4 Rh 2.59-2.65, 3 Al 2.84-2.88
Rh1 0.2500 0.7786 0.8990  5 Al 2.58-2.65, 2 Pa 2.65-2.87
Rh2 0.7500 0.2613 0.7571  3 Al 2.63-2.67, 2 Pa 2.92
Rh3 0.7500 0.7585 0.5753  4 Al 2.62-2.79, 1 Pa 2.85
Rh4 0.7500 0.2214 0.1010  5 Al 2.58-2.65, 2 Pa 2.65-2.87
Rh5 0.2500 0.2415 0.4247  4 Al 2.62-2.79, 1 Pa 2.85
Rh6 0.2500 0.7387 0.2429  3 Al 2.63-2.67, 2 Pa 2.92

Calculated values
As for the symmetry: P2_1/m. As for the calculated total energy: -7.629 eV per atom. The total magnetization is 0.00 μB per formula unit. As for the density: 10.410 g/cm3. The energy of formation from the pure elements is -0.7654 eV per atom.

[6]
VASP calculation (GGA-PBE) on a relaxed Pm3ZnC2N6 crystal.

abc: 5.3208 5.3208 6.4026
angles: 90.00 90.00 120.00
Closest atoms and distances in Å follow each position.
Fractional coordinates of all 12 atoms:
Pm1 0.3333 0.6667 0.6622  1 C 2.50, 6 N 2.69
Pm2 0.6667 0.3333 0.3378  1 C 2.50, 6 N 2.69
Pm3 0.0000 0.0000 0.0000  6 N 2.46
Zn1 0.0000 0.0000 0.5000  6 N 2.22
C1 0.6667 0.3333 0.7280  3 N 1.37
C2 0.3333 0.6667 0.2720  3 N 1.37
N1 0.6308 0.8154 0.2777  1 C 1.37
N2 0.1846 0.3692 0.2777  1 C 1.37
N3 0.1846 0.8154 0.2777  1 C 1.37
N4 0.8154 0.6308 0.7223  1 C 1.37
N5 0.3692 0.1846 0.7223  1 C 1.37
N6 0.8154 0.1846 0.7223  1 C 1.37

Calculated values
As for the symmetry: P-3m1. As for the calculated total energy: -7.571 eV per atom. The total magnetization is 0.00 μB per formula unit. As for the density: 6.436 g/cm3. The raw formation energy comes out at -0.58 eV/atom.

Which of these has the highest total magnetization?
CeThCd17

What did the first record say?
VASP calculation (GGA-PBE) on a relaxed AgHgIr2 crystal.

abc: 4.7809 4.7809 5.2565
angles: 81.05 81.05 34.90
Closest atoms and distances in Å follow each position.
Fractional coordinates of all 4 atoms:
Ir1 0.9944 0.9944 0.0435  5 Ir 2.63-2.87, 2 Ag 2.84
Ir2 0.2562 0.2562 0.2129  5 Ir 2.63-2.87, 2 Hg 2.90, 3 Ag 2.93-2.94
Hg1 0.7467 0.7467 0.7370  3 Ag 2.70-2.84, 2 Hg 2.87, 5 Ir 2.90-2.98
Ag1 0.5027 0.5027 0.5066  3 Hg 2.70-2.84, 5 Ir 2.84-2.94, 2 Ag 2.87

Calculated values
As for the symmetry: Cm. As for the calculated total energy: -4.787 eV per atom. The total magnetization is 0.00 μB per formula unit. As for the density: 16.965 g/cm3. The energy of formation from the pure elements is 0.4320 eV per atom.

Copy entry 2 word for word.
VASP calculation (GGA-PBE) on a relaxed Al2Pd4Au crystal.

abc: 3.7918 7.0668 16.5587
angles: 90.00 90.00 90.00
Closest atoms and distances in Å follow each position.
Fractional coordinates of all 28 atoms:
Au1 0.7500 0.9439 0.6428  4 Al 2.82-2.87, 8 Pd 2.91-3.15
Au2 0.2500 0.0561 0.3572  4 Al 2.82-2.87, 8 Pd 2.91-3.15
Au3 0.2500 0.4439 0.8572  4 Al 2.82-2.87, 8 Pd 2.91-3.15
Au4 0.7500 0.5561 0.1428  4 Al 2.82-2.87, 8 Pd 2.91-3.15
Al1 0.2500 0.7415 0.5460  6 Pd 2.45-2.63
Al2 0.7500 0.2585 0.4540  6 Pd 2.45-2.63
Al3 0.7500 0.2415 0.9540  6 Pd 2.45-2.63
Al4 0.2500 0.7585 0.0460  6 Pd 2.45-2.63
Al5 0.2500 0.9493 0.7687  7 Pd 2.47-2.66
Al6 0.7500 0.0507 0.2313  7 Pd 2.47-2.66
Al7 0.7500 0.4493 0.7313  7 Pd 2.47-2.66
Al8 0.2500 0.5507 0.2687  7 Pd 2.47-2.66
Pd1 0.2500 0.2487 0.6837  3 Al 2.50-2.54, 1 Pd 2.65
Pd2 0.7500 0.7513 0.3163  3 Al 2.50-2.54, 1 Pd 2.65
Pd3 0.7500 0.7487 0.8163  3 Al 2.50-2.54, 1 Pd 2.65
Pd4 0.2500 0.2513 0.1837  3 Al 2.50-2.54, 1 Pd 2.65
Pd5 0.2500 0.6513 0.6890  4 Al 2.45-2.49
Pd6 0.7500 0.3487 0.3110  4 Al 2.45-2.49
Pd7 0.7500 0.1513 0.8110  4 Al 2.45-2.49
Pd8 0.2500 0.8487 0.1890  4 Al 2.45-2.49
Pd9 0.2500 0.1317 0.5313  2 Al 2.46, 1 Pd 2.65
Pd10 0.7500 0.8683 0.4687  2 Al 2.46, 1 Pd 2.65
Pd11 0.7500 0.6317 0.9687  2 Al 2.46, 1 Pd 2.65
Pd12 0.2500 0.3683 0.0313  2 Al 2.46, 1 Pd 2.65
Pd13 0.2500 0.5102 0.4283  4 Al 2.54-2.66
Pd14 0.7500 0.4898 0.5717  4 Al 2.54-2.66
Pd15 0.7500 0.0102 0.0717  4 Al 2.54-2.66
Pd16 0.2500 0.9898 0.9283  4 Al 2.54-2.66

Calculated values
As for the symmetry: Pnma. As for the calculated total energy: -5.097 eV per atom. The total magnetization is 0.00 μB per formula unit. As for the density: 10.129 g/cm3. The calculation puts the energy above the most stable polymorph in this dataset at 0.00 eV/f.u. The energy of formation from the pure elements is -0.5921 eV per atom.

Among the records above, which one has the highest total magnetization?
CeThCd17